[1]
Below is a relaxed Sr2TaF crystal, with properties calculated at the GGA-PBE level.

Properties
For the energy relative to the elements, uncorrected, the calculation gives -310 meV per atom. The value obtained for the energy above the most stable polymorph in this dataset is 0 meV per atom. For the calculated total energy, the calculation gives -36.7 eV per cell. The space group is I-42d. For the total magnetization, the calculation gives 3.9 μB/f.u.

a b c (Å): 6.8200 6.8200 6.8200
angles (deg): 112.09 112.09 104.34
With the nearest neighbours (Å) after each atom.
Atoms (fractional coordinates):
Sr: 0.0226 0.6250 0.8976  2 F 2.45
Sr: 0.3750 0.2726 0.3976  2 F 2.45
Sr: 0.7274 0.1250 0.1024  2 F 2.45
Sr: 0.8750 0.9774 0.6024  2 F 2.45
Ta: 0.2500 0.7500 0.5000  8 Sr 3.45-3.84
Ta: 0.5000 0.5000 0.0000  8 Sr 3.45-3.84
F: 0.0000 0.0000 0.0000  4 Sr 2.45
F: 0.7500 0.2500 0.5000  4 Sr 2.45



[2]
Below is a relaxed Sr3TaF crystal, with properties calculated at the GGA-PBE level.

Properties
For the energy relative to the elements, uncorrected, the calculation gives -387 meV per atom. The value obtained for the energy above the most stable polymorph in this dataset is 0 meV per atom. For the calculated total energy, the calculation gives -20.7 eV per cell. The space group is Pm-3m. For the total magnetization, the calculation gives 3.7 μB/f.u.

a b c (Å): 5.3133 5.3133 5.3133
angles (deg): 90.00 90.00 90.00
With the nearest neighbours (Å) after each atom.
Atoms (fractional coordinates):
Sr: 0.0000 0.0000 0.5000  2 F 2.66
Sr: 0.0000 0.5000 0.0000  2 F 2.66
Sr: 0.5000 0.0000 0.0000  2 F 2.66
Ta: 0.5000 0.5000 0.5000  12 Sr 3.76
F: 0.0000 0.0000 0.0000  6 Sr 2.66



[3]
Below is a relaxed SrTaF3 crystal, with properties calculated at the GGA-PBE level.

Properties
For the energy relative to the elements, uncorrected, the calculation gives -1770 meV per atom. The value obtained for the energy above the most stable polymorph in this dataset is 0 meV per atom. For the calculated total energy, the calculation gives -28.0 eV per cell. The space group is Pm-3m. For the total magnetization, the calculation gives 3.4 μB/f.u.

a b c (Å): 4.5002 4.5002 4.5002
angles (deg): 90.00 90.00 90.00
With the nearest neighbours (Å) after each atom.
Atoms (fractional coordinates):
Sr: 0.0000 0.0000 0.0000  12 F 3.18
Ta: 0.5000 0.5000 0.5000  6 F 2.25
F: 0.0000 0.5000 0.5000  2 Ta 2.25
F: 0.5000 0.0000 0.5000  2 Ta 2.25
F: 0.5000 0.5000 0.0000  2 Ta 2.25



Q: Which of these has the highest calculated total energy?
A: Sr3TaF



Copy entry 3 word for word.
Below is a relaxed SrTaF3 crystal, with properties calculated at the GGA-PBE level.

Properties
For the energy relative to the elements, uncorrected, the calculation gives -1770 meV per atom. The value obtained for the energy above the most stable polymorph in this dataset is 0 meV per atom. For the calculated total energy, the calculation gives -28.0 eV per cell. The space group is Pm-3m. For the total magnetization, the calculation gives 3.4 μB/f.u.

a b c (Å): 4.5002 4.5002 4.5002
angles (deg): 90.00 90.00 90.00
With the nearest neighbours (Å) after each atom.
Atoms (fractional coordinates):
Sr: 0.0000 0.0000 0.0000  12 F 3.18
Ta: 0.5000 0.5000 0.5000  6 F 2.25
F: 0.0000 0.5000 0.5000  2 Ta 2.25
F: 0.5000 0.0000 0.5000  2 Ta 2.25
F: 0.5000 0.5000 0.0000  2 Ta 2.25